# CoRhOF2

CoRhOF2 after structural relaxation (PBE with a Hubbard U, the Alexandria database).

Unit cell a=4.092 b=4.092 c=3.700 alpha=90.00 beta=90.00 gamma=90.00
Site moments in Bohr magnetons follow the coordinates.
Fractional coordinates of all 5 atoms:
1 Co 0.000 0.000 0.000  3.01
2 F 0.500 0.000 0.000  0.03
3 F 0.000 0.500 0.000  0.03
4 Rh 0.500 0.500 0.500  -1.93
5 O 0.000 0.000 0.500  0.28

Computed properties:
DOS at the Fermi energy = 10.06 states/eV/f.u.
Energy above the lowest structure with this stoichiometry = 0.000 eV/atom
Crystal system = tetragonal